1.
This record from the Alexandria database describes an optimized crystal structure of TlSb3. The functional is PBE-GGA.

extended XYZ file:
```
4
Lattice="11.538 -0.035 -0.021 11.051 3.319 -0.021 11.051 1.607 2.905" Properties=species:S:1:pos:R:3 pbc="T T T"
Sb 8.344 1.213 0.710
Sb 16.820 2.445 1.432
Sb 25.296 3.678 2.153
Tl 0.000 0.000 0.000
```

2.
This record from the Alexandria database describes an optimized crystal structure of TlSb. The functional is PBE-GGA.

extended XYZ file:
```
8
Lattice="8.299 0.000 0.000 0.000 8.299 0.000 0.000 0.000 4.789" Properties=species:S:1:pos:R:3 pbc="T T T"
Tl 6.812 1.487 2.395
Tl 1.487 6.812 2.395
Tl 5.636 5.636 0.000
Tl 2.663 2.663 0.000
Sb 6.820 6.820 2.395
Sb 2.671 5.628 0.000
Sb 5.628 2.671 0.000
Sb 1.478 1.478 2.395
```

3.
This record from the Alexandria database describes an optimized crystal structure of TlSb. The functional is PBE-GGA.

extended XYZ file:
```
4
Lattice="-1.895 -6.452 2.088 5.060 4.647 1.546 -2.359 1.618 2.858" Properties=species:S:1:pos:R:3 pbc="T T T"
Sb 3.915 4.165 2.304
Sb -3.109 -4.353 4.188
Tl 2.055 1.198 2.449
Tl -1.250 -1.386 4.043
```

no.,formation energy (no corrections) (kJ per mole of atoms)
1,19.3
2,17.5
3,2.7